A relaxed structure of NaTm2PuO6. Source: Alexandria via LeMat-Bulk, functional GGA-PBE.

a b c (Å): 5.7662 5.7661 6.0666
angles (deg): 61.62 61.62 60.00
Last column: nearest neighbours and their distance in Å.
Atoms (fractional coordinates):
Tm 0.0148 0.0148 0.9556  6 O 2.20-2.30
Tm 0.5262 0.5262 0.4214  6 O 2.21-2.35
O 0.2381 0.9262 0.2320  1 Pu 2.17, 2 Tm 2.21-2.30
O 0.1559 0.3767 0.7632  1 Pu 2.14, 2 Tm 2.20-2.35, 1 Na 2.39
O 0.6037 0.2381 0.2320  1 Pu 2.17, 2 Tm 2.21-2.30
O 0.9262 0.6037 0.2320  1 Pu 2.17, 2 Tm 2.21-2.30
O 0.7042 0.1559 0.7632  1 Pu 2.14, 2 Tm 2.20-2.35, 1 Na 2.39
O 0.3767 0.7042 0.7632  1 Pu 2.14, 2 Tm 2.20-2.35, 1 Na 2.39
Na 0.7972 0.7971 0.6085  6 O 2.39-2.64
Pu 0.3186 0.3186 0.0442  6 O 2.14-2.17

Computed properties:
calculated density: 7.97 Mg/m³
energy: -8.457 eV per atom
D(E_F): 11.2 states/eV/cell
space-group type: R3
energy relative to the elements, uncorrected: -3023 meV/atom
size of the total moment: 3.00 Bohr magnetons per cell